Record 1
Entry from Alexandria: crystalline HfGaRh at its relaxed geometry (GGA-PBE).

Values from the calculation:
- Crystal system: tetragonal
- E_tot: -7.4364 eV/atom

Cell: 3.134 3.134 5.536 Å, 106.44 106.44 90.00°
Fractional coordinates of all 3 atoms:
1 Rh 0.325 0.325 0.649
2 Ga 0.681 0.681 0.363
3 Hf 0.994 0.994 0.988

Record 2
Entry from Alexandria: crystalline LiCa2InP at its relaxed geometry (GGA-PBE).

Values from the calculation:
- Crystal system: tetragonal
- E_tot: -3.3483 eV/atom
- Energy above the lowest structure with this stoichiometry: 0 kJ/mol of formula units

Cell: 5.518 5.518 4.700 Å, 90.00 90.00 90.00°
Fractional coordinates of all 5 atoms:
1 Li 0.000 0.000 0.500
2 Ca 0.500 0.000 0.000
3 Ca 0.000 0.500 0.000
4 P 0.000 0.000 0.000
5 In 0.500 0.500 0.500

Record 3
Entry from Alexandria: crystalline TmScI6 at its relaxed geometry (GGA-PBE).

Values from the calculation:
- Formation energy (no corrections): -1217.9 meV/atom
- Crystal system: trigonal
- E_tot: -3.7308 eV/atom
- Energy above the lowest structure with this stoichiometry: 21 kJ/mol of formula units

Cell: 7.457 7.457 7.952 Å, 62.03 62.04 59.99°
Fractional coordinates of all 8 atoms:
1 I 0.244 0.909 0.246
2 I 0.601 0.244 0.246
3 I 0.091 0.399 0.754
4 I 0.909 0.601 0.246
5 I 0.756 0.091 0.754
6 I 0.399 0.756 0.754
7 Sc 0.000 0.000 0.000
8 Tm 0.500 0.500 0.500

Record 4
Entry from Alexandria: crystalline ZnAg2PbCl6 at its relaxed geometry (GGA-PBE).

Values from the calculation:
- Formation energy (no corrections): -811.0 meV/atom
- Crystal system: triclinic
- E_tot: -2.9875 eV/atom

Cell: 6.883 6.878 7.346 Å, 62.01 61.95 59.93°
Fractional coordinates of all 10 atoms:
1 Cl 0.953 0.566 0.244
2 Cl 0.698 0.123 0.776
3 Cl 0.567 0.236 0.243
4 Cl 0.237 0.953 0.244
5 Cl 0.402 0.699 0.776
6 Cl 0.123 0.403 0.776
7 Ag 0.014 0.016 0.955
8 Ag 0.529 0.528 0.414
9 Zn 0.322 0.321 0.035
10 Pb 0.816 0.816 0.551

Record 5
Entry from Alexandria: crystalline Cd2PbBr at its relaxed geometry (GGA-PBE).

Values from the calculation:
- Formation energy (no corrections): -117.7 meV/atom
- Crystal system: monoclinic
- E_tot: -1.9206 eV/atom
- Energy above the lowest structure with this stoichiometry: 24 kJ/mol of formula units

Cell: 6.675 6.675 5.189 Å, 74.44 74.44 31.07°
Fractional coordinates of all 4 atoms:
1 Br 0.750 0.750 0.750
2 Pb 0.250 0.250 0.250
3 Cd 0.518 0.518 0.491
4 Cd 0.982 0.982 0.009

Record 6
Entry from Alexandria: crystalline CeBi5 at its relaxed geometry (GGA-PBE).

Values from the calculation:
- Crystal system: orthorhombic
- E_tot: -4.4917 eV/atom

Cell: 4.777 4.675 8.755 Å, 105.48 90.00 90.00°
Site moments in Bohr magnetons follow the coordinates.
Fractional coordinates of all 6 atoms:
1 Bi 0.000 0.655 0.311  0.02
2 Bi 0.500 0.161 0.322  0.02
3 Bi 0.500 0.500 0.000  0.01
4 Bi 0.000 0.345 0.689  0.02
5 Bi 0.500 0.839 0.678  0.02
6 Ce 0.000 0.000 0.000  0.74

Record 7
Entry from Alexandria: crystalline Ce2Ga6Pd at its relaxed geometry (GGA-PBE).

Values from the calculation:
- Crystal system: trigonal
- E_tot: -4.5179 eV/atom
- Energy above the lowest structure with this stoichiometry: 0 kJ/mol of formula units

Cell: 5.508 6.050 6.050 Å, 60.00 90.00 90.00°
Site moments in Bohr magnetons follow the coordinates.
Fractional coordinates of all 9 atoms:
1 Ga 0.682 0.177 0.645  0.00
2 Ga 0.682 0.645 0.177  0.00
3 Ga 0.318 0.823 0.355  0.00
4 Ga 0.318 0.355 0.823  0.00
5 Ga 0.682 0.178 0.178  0.00
6 Ga 0.318 0.822 0.822  0.00
7 Ce 0.179 0.333 0.333  0.18
8 Ce 0.821 0.667 0.667  0.18
9 Pd 0.000 0.000 0.000  0.00

Record 8
Entry from Alexandria: crystalline Ac5Tb12Zr3 at its relaxed geometry (GGA-PBE).

Values from the calculation:
- Crystal system: cubic
- E_tot: -4.0697 eV/atom

Cell: 16.353 16.353 16.353 Å, 109.47 109.47 109.47°
Site moments in Bohr magnetons follow the coordinates.
Fractional coordinates of all 80 atoms:
1 Ac 0.500 0.000 0.500  -0.01
2 Ac 0.875 0.625 0.750  -0.01
3 Ac 0.250 0.875 0.125  -0.01
4 Ac 0.500 0.500 0.500  -0.01
5 Ac 0.750 0.125 0.875  -0.01
6 Ac 0.125 0.375 0.250  -0.01
7 Ac 0.375 0.125 0.750  -0.01
8 Ac 0.750 0.625 0.375  -0.01
9 Ac 0.875 0.250 0.625  -0.01
10 Ac 0.500 0.500 0.000  -0.01
11 Ac 0.250 0.375 0.625  -0.01
12 Ac 0.500 0.000 0.000  -0.01
13 Ac 0.625 0.875 0.250  -0.01
14 Ac 0.000 0.000 0.500  -0.01
15 Ac 0.125 0.750 0.375  -0.01
16 Ac 0.000 0.000 0.000  -0.01
17 Ac 0.000 0.500 0.000  -0.01
18 Ac 0.000 0.500 0.500  -0.01
19 Ac 0.375 0.250 0.125  -0.01
20 Ac 0.625 0.750 0.875  -0.01
21 Tb 0.449 0.089 0.349  0.08
22 Tb 0.449 0.359 0.600  0.08
23 Tb 0.900 0.051 0.641  0.08
24 Tb 0.359 0.449 0.100  0.08
25 Tb 0.089 0.641 0.741  0.08
26 Tb 0.911 0.359 0.259  0.08
27 Tb 0.359 0.911 0.759  0.08
28 Tb 0.859 0.600 0.949  0.08
29 Tb 0.089 0.449 0.849  0.08
30 Tb 0.651 0.241 0.600  0.08
31 Tb 0.151 0.100 0.741  0.08
32 Tb 0.641 0.551 0.900  0.08
33 Tb 0.859 0.259 0.411  0.08
34 Tb 0.241 0.589 0.641  0.08
35 Tb 0.241 0.651 0.100  0.08
36 Tb 0.051 0.900 0.141  0.08
37 Tb 0.551 0.641 0.400  0.08
38 Tb 0.259 0.400 0.849  0.08
39 Tb 0.151 0.051 0.911  0.08
40 Tb 0.849 0.949 0.089  0.08
41 Tb 0.600 0.859 0.449  0.08
42 Tb 0.949 0.100 0.859  0.08
43 Tb 0.600 0.741 0.651  0.08
44 Tb 0.949 0.849 0.589  0.08
45 Tb 0.400 0.259 0.349  0.08
46 Tb 0.411 0.759 0.859  0.08
47 Tb 0.651 0.411 0.551  0.08
48 Tb 0.100 0.949 0.359  0.08
49 Tb 0.741 0.600 0.151  0.08
50 Tb 0.349 0.589 0.449  0.08
51 Tb 0.759 0.349 0.900  0.08
52 Tb 0.259 0.859 0.911  0.08
53 Tb 0.051 0.151 0.411  0.08
54 Tb 0.100 0.151 0.241  0.08
55 Tb 0.589 0.241 0.141  0.08
56 Tb 0.900 0.849 0.759  0.08
57 Tb 0.911 0.551 0.151  0.08
58 Tb 0.641 0.089 0.241  0.08
59 Tb 0.551 0.911 0.651  0.08
60 Tb 0.589 0.349 0.949  0.08
61 Tb 0.741 0.141 0.089  0.08
62 Tb 0.141 0.400 0.051  0.08
63 Tb 0.349 0.759 0.400  0.08
64 Tb 0.141 0.741 0.589  0.08
65 Tb 0.400 0.141 0.551  0.08
66 Tb 0.849 0.900 0.259  0.08
67 Tb 0.411 0.651 0.051  0.08
68 Tb 0.759 0.411 0.359  0.08
69 Zr 0.750 0.875 0.625  0.40
70 Zr 0.625 0.250 0.375  0.40
71 Zr 0.125 0.250 0.875  0.40
72 Zr 0.750 0.375 0.125  0.40
73 Zr 0.875 0.125 0.250  0.40
74 Zr 0.875 0.750 0.125  0.40
75 Zr 0.375 0.625 0.250  0.40
76 Zr 0.375 0.750 0.625  0.40
77 Zr 0.125 0.875 0.750  0.40
78 Zr 0.250 0.625 0.875  0.40
79 Zr 0.250 0.125 0.375  0.40
80 Zr 0.625 0.375 0.750  0.40

Record 9
Entry from Alexandria: crystalline Ca3BeAs3 at its relaxed geometry (GGA-PBE).

Values from the calculation:
- Crystal system: orthorhombic
- E_tot: -4.3260 eV/atom

Cell: 6.093 9.497 12.049 Å, 90.00 90.00 108.71°
Fractional coordinates of all 28 atoms:
1 Ca 0.696 0.000 0.855
2 Ca 0.532 0.655 0.130
3 Ca 0.623 0.655 0.630
4 Ca 0.468 0.345 0.870
5 Ca 0.304 0.000 0.145
6 Ca 0.877 0.345 0.130
7 Ca 0.032 0.655 0.370
8 Ca 0.123 0.655 0.870
9 Ca 0.196 0.000 0.645
10 Ca 0.804 0.000 0.355
11 Ca 0.377 0.345 0.370
12 Ca 0.968 0.345 0.630
13 As 0.952 0.320 0.883
14 As 0.548 0.680 0.383
15 As 0.790 0.000 0.106
16 As 0.452 0.320 0.617
17 As 0.710 0.000 0.606
18 As 0.367 0.320 0.117
19 As 0.133 0.680 0.617
20 As 0.867 0.320 0.383
21 As 0.048 0.680 0.117
22 As 0.633 0.680 0.883
23 As 0.290 0.000 0.394
24 As 0.210 0.000 0.894
25 Be 0.917 0.835 0.000
26 Be 0.417 0.835 0.500
27 Be 0.583 0.165 0.500
28 Be 0.083 0.165 0.000

Record 10
Entry from Alexandria: crystalline K2ReHgPb at its relaxed geometry (GGA-PBE).

Values from the calculation:
- Crystal system: tetragonal
- E_tot: -2.5767 eV/atom

Cell: 6.141 5.266 6.141 Å, 90.00 90.00 90.00°
Site moments in Bohr magnetons follow the coordinates.
Fractional coordinates of all 5 atoms:
1 K 0.000 0.000 0.500  -0.01
2 K 0.500 0.000 0.000  -0.01
3 Re 0.000 0.500 0.000  2.76
4 Hg 0.000 0.000 0.000  0.01
5 Pb 0.500 0.500 0.500  -0.23

Record 11
Entry from Alexandria: crystalline Y2CdW at its relaxed geometry (GGA-PBE).

Values from the calculation:
- Crystal system: tetragonal
- E_tot: -6.2712 eV/atom

Cell: 3.119 3.119 9.766 Å, 90.00 90.00 90.00°
Fractional coordinates of all 4 atoms:
1 W 0.500 0.500 0.733
2 Y 0.000 0.000 0.961
3 Y 0.500 0.500 0.280
4 Cd 0.000 0.000 0.526

Record 12
Entry from Alexandria: crystalline RbAs2IrSe at its relaxed geometry (GGA-PBE).

Values from the calculation:
- Formation energy (no corrections): 81.9 meV/atom
- Crystal system: tetragonal
- E_tot: -4.4406 eV/atom
- Energy above the lowest structure with this stoichiometry: 0 kJ/mol of formula units

Cell: 4.776 4.776 5.803 Å, 90.00 90.00 90.00°
Fractional coordinates of all 5 atoms:
1 Rb 0.500 0.500 0.500
2 As 0.500 0.000 0.000
3 As 0.000 0.500 0.000
4 Ir 0.000 0.000 0.000
5 Se 0.000 0.000 0.500

Record 13
Entry from Alexandria: crystalline CoOs at its relaxed geometry (GGA-PBE).

Values from the calculation:
- Crystal system: orthorhombic
- E_tot: -9.1165 eV/atom

Cell: 4.572 4.172 5.214 Å, 90.00 90.00 90.00°
Site moments in Bohr magnetons follow the coordinates.
Fractional coordinates of all 8 atoms:
1 Os 0.585 0.250 0.874  -0.04
2 Os 0.415 0.750 0.126  -0.04
3 Os 0.085 0.250 0.626  -0.04
4 Os 0.915 0.750 0.374  -0.04
5 Co 0.584 0.250 0.379  0.69
6 Co 0.416 0.750 0.621  0.69
7 Co 0.084 0.250 0.121  0.69
8 Co 0.916 0.750 0.879  0.69

Record 14
Entry from Alexandria: crystalline MnTc2WC at its relaxed geometry (GGA-PBE).

Values from the calculation:
- Crystal system: tetragonal
- E_tot: -10.3420 eV/atom

Cell: 4.057 4.057 3.840 Å, 90.00 90.00 90.00°
Site moments in Bohr magnetons follow the coordinates.
Fractional coordinates of all 5 atoms:
1 Tc 0.000 0.500 0.000  -0.05
2 Tc 0.500 0.000 0.000  -0.05
3 Mn 0.000 0.000 0.500  0.86
4 W 0.500 0.500 0.500  -0.19
5 C 0.000 0.000 0.000  -0.03

Record 15
Entry from Alexandria: crystalline Li3CdHg at its relaxed geometry (GGA-PBE).

Values from the calculation:
- Crystal system: cubic
- E_tot: -1.2607 eV/atom
- Energy above the lowest structure with this stoichiometry: 197 kJ/mol of formula units

Cell: 5.041 5.041 5.041 Å, 90.00 90.00 90.00°
Fractional coordinates of all 5 atoms:
1 Li 0.000 0.500 0.000
2 Li 0.000 0.000 0.500
3 Li 0.500 0.000 0.000
4 Hg 0.500 0.500 0.500
5 Cd 0.000 0.000 0.000

Record 16
Entry from Alexandria: crystalline TiZn3Si at its relaxed geometry (GGA-PBE).

Values from the calculation:
- Formation energy (no corrections): 686.8 meV/atom
- Crystal system: cubic
- E_tot: -2.7411 eV/atom
- Energy above the lowest structure with this stoichiometry: 0 kJ/mol of formula units

Cell: 4.566 4.566 4.566 Å, 90.00 90.00 90.00°
Fractional coordinates of all 5 atoms:
1 Ti 0.500 0.500 0.500
2 Si 0.000 0.000 0.000
3 Zn 0.000 0.500 0.000
4 Zn 0.500 0.000 0.000
5 Zn 0.000 0.000 0.500

Record 17
Entry from Alexandria: crystalline ZrTaCoRu at its relaxed geometry (GGA-PBE).

Values from the calculation:
- Crystal system: cubic
- E_tot: -9.4959 eV/atom

Cell: 4.509 4.509 4.509 Å, 60.00 60.00 60.00°
Site moments in Bohr magnetons follow the coordinates.
Fractional coordinates of all 4 atoms:
1 Ru 0.000 0.000 0.000  0.17
2 Co 0.500 0.500 0.500  1.23
3 Ta 0.750 0.750 0.750  0.08
4 Zr 0.250 0.250 0.250  0.01

Record 18
Entry from Alexandria: crystalline Rb2BaI6O at its relaxed geometry (GGA-PBE).

Values from the calculation:
- Formation energy (no corrections): -779.7 meV/atom
- Crystal system: tetragonal
- E_tot: -2.5914 eV/atom

Cell: 9.790 9.790 8.837 Å, 56.36 56.36 90.00°
Site moments in Bohr magnetons follow the coordinates.
Fractional coordinates of all 10 atoms:
1 Rb 0.750 0.250 0.500  0.00
2 Rb 0.250 0.750 0.500  0.00
3 I 0.693 0.693 0.615  0.26
4 I 0.759 0.759 0.000  0.10
5 I 0.241 0.241 0.000  0.10
6 I 0.759 0.241 0.000  0.10
7 I 0.307 0.307 0.385  0.26
8 I 0.241 0.759 0.000  0.10
9 O 0.500 0.500 0.000  0.45
10 Ba 0.000 0.000 0.000  0.00

Record 19
Entry from Alexandria: crystalline TbZnInNi at its relaxed geometry (GGA-PBE).

Values from the calculation:
- Crystal system: cubic
- E_tot: -3.9554 eV/atom

Cell: 4.721 4.721 4.721 Å, 60.00 60.00 60.00°
Fractional coordinates of all 4 atoms:
1 Zn 0.750 0.750 0.750
2 In 0.500 0.500 0.500
3 Ni 0.250 0.250 0.250
4 Tb 0.000 0.000 0.000

Record 20
Entry from Alexandria: crystalline Y8P3Se4S at its relaxed geometry (GGA-PBE).

Values from the calculation:
- Formation energy (no corrections): -1828.3 meV/atom
- Crystal system: trigonal
- E_tot: -7.2038 eV/atom

Cell: 8.033 8.145 8.033 Å, 119.55 120.00 90.00°
Fractional coordinates of all 16 atoms:
1 Y 0.755 0.272 0.017
2 Y 0.262 0.272 0.017
3 Y 0.738 0.728 0.983
4 Y 0.742 0.727 0.485
5 Y 0.245 0.728 0.489
6 Y 0.755 0.272 0.511
7 Y 0.245 0.728 0.983
8 Y 0.258 0.273 0.515
9 P 0.500 0.500 0.000
10 P 0.000 0.500 0.500
11 P 0.500 0.500 0.500
12 Se 0.000 0.000 0.000
13 Se 0.500 0.000 0.500
14 Se 0.500 0.000 0.000
15 Se 0.000 0.000 0.500
16 S 0.000 0.500 0.000